No. 1
Compound: Cs2CuIBr3
Source: the Alexandria database
Functional: PBE
Structure: optimized geometry

Cell: 5.495 5.876 17.244 Å, 90.00 90.00 90.00°
Space group Immm (No. 71)
Unique sites:
Cs 0.000 0.000 0.141 x4
Cu 0.000 0.000 0.500 x2
I 0.000 0.500 0.000 x2
Br 0.000 0.000 0.356 x4
Br 0.000 0.500 0.500 x2

Properties
Total DFT energy (no corrections): -2.83 eV/atom
Magnetic moment: 0.01 μB/f.u.

No. 2
Compound: Ca2CdSi
Source: the Alexandria database
Functional: PBE
Structure: optimized geometry

Cell: 5.160 5.160 15.179 Å, 90.00 90.00 90.00°
Space group I4/mmm (No. 139)
Unique sites:
Ca 0.000 0.500 0.000 x4
Ca 0.000 0.500 0.250 x4
Cd 0.000 0.000 0.125 x4
Si 0.000 0.000 0.369 x4

Properties
Total DFT energy (no corrections): -2.93 eV/atom
Magnetic moment: 0.00 μB/f.u.

No. 3
Compound: Pr3Zn2Cd9
Source: the Alexandria database
Functional: PBE
Structure: optimized geometry

Cell: 4.992 9.687 13.939 Å, 90.00 90.00 90.00°
Space group Immm (No. 71)
Unique sites:
Pr 0.000 0.000 0.000 x2
Pr 0.000 0.000 0.291 x4
Zn 0.000 0.152 0.500 x4
Cd 0.000 0.286 0.147 x8
Cd 0.000 0.357 0.360 x8
Cd 0.000 0.500 0.000 x2

Properties
Total DFT energy (no corrections): -2.04 eV/atom
Magnetic moment: 0.00 μB/f.u.
ΔE_f: -250 meV/atom

No. 4
Compound: Cs12Hg3Bi5
Source: the Alexandria database
Functional: PBE
Structure: optimized geometry

Cell: 23.844 23.844 23.844 Å, 90.00 90.00 90.00°
Space group Ia-3d (No. 230)
Unique sites:
Cs 0.043 0.066 0.638 x96
Hg 0.000 0.250 0.125 x24
Bi 0.000 0.000 0.000 x16
Bi 0.000 0.250 0.375 x24

Properties
Total DFT energy (no corrections): -1.59 eV/atom
Magnetic moment: 3.20 μB/f.u.
ΔE_f: -67 meV/atom

No. 5
Compound: PRhBr2
Source: the Alexandria database
Functional: PBE
Structure: optimized geometry

Cell: 4.757 4.757 3.323 Å, 90.00 90.00 90.00°
Space group P4/mmm (No. 123)
Unique sites:
P 0.000 0.000 0.000 x1
Rh 0.500 0.500 0.000 x1
Br 0.000 0.500 0.500 x2

Properties
Total DFT energy (no corrections): -3.12 eV/atom
Relative energy among the computed polymorphs: 5.66 eV/f.u.
Magnetic moment: 0.30 μB/f.u.

No. 6
Compound: Ba2TaTe
Source: the Alexandria database
Functional: PBE
Structure: optimized geometry

Cell: 4.866 4.886 12.638 Å, 90.00 90.00 90.00°
Space group Amm2 (No. 38)
Unique sites:
Ba 0.000 0.000 0.000 x2
Ba 0.500 0.000 0.291 x2
Ta 0.000 0.000 0.702 x2
Te 0.500 0.000 0.589 x2

Properties
Total DFT energy (no corrections): -4.59 eV/atom
Magnetic moment: 1.21 μB/f.u.

No. 7
Compound: HfScV2Se
Source: the Alexandria database
Functional: PBE
Structure: optimized geometry

Cell: 4.555 4.555 4.854 Å, 90.00 90.00 90.00°
Space group P4/mmm (No. 123)
Unique sites:
Hf 0.000 0.000 0.000 x1
Sc 0.500 0.500 0.000 x1
V 0.000 0.500 0.500 x2
Se 0.500 0.500 0.500 x1

Properties
Total DFT energy (no corrections): -7.33 eV/atom
Magnetic moment: 1.46 μB/f.u.

No. 8
Compound: YZr2Se
Source: the Alexandria database
Functional: PBE
Structure: optimized geometry

Cell: 4.358 4.358 9.608 Å, 90.00 90.00 90.00°
Space group I-4m2 (No. 119)
Unique sites:
Y 0.000 0.000 0.000 x2
Zr 0.000 0.000 0.500 x2
Zr 0.000 0.500 0.750 x2
Se 0.000 0.500 0.250 x2

Properties
Total DFT energy (no corrections): -6.96 eV/atom
Magnetic moment: 0.00 μB/f.u.

No. 9
Compound: K2NaF
Source: the Alexandria database
Functional: PBE
Structure: optimized geometry

Cell: 3.9874 3.9874 30.3874 Å, 90.00 90.00 120.00°
Space group R-3m (No. 166, hexagonal axes)
Unique sites:
K 0.0000 0.0000 0.2177 x6
Na 0.0000 0.0000 0.0000 x3
F 0.0000 0.0000 0.5000 x3

Properties
Total DFT energy (no corrections): -2.64 eV/atom
Relative energy among the computed polymorphs: 0.00 eV/f.u.
Magnetic moment: 0.00 μB/f.u.

No. 10
Compound: Pr5As4H
Source: the Alexandria database
Functional: PBE
Structure: optimized geometry

Cell: 9.512 9.512 6.032 Å, 90.00 90.00 90.00°
Space group I4 (No. 79)
Unique sites:
Pr 0.000 0.000 0.000 x2
Pr 0.104 0.694 0.536 x8
As 0.099 0.702 0.036 x8
H 0.000 0.000 0.587 x2

Properties
Total DFT energy (no corrections): -5.83 eV/atom
Magnetic moment: 0.00 μB/f.u.

No. 11
Compound: LaLuCdAu
Source: the Alexandria database
Functional: PBE
Structure: optimized geometry

Cell: 7.470 7.470 7.470 Å, 90.00 90.00 90.00°
Space group F-43m (No. 216)
Unique sites:
La 0.000 0.000 0.000 x4
Lu 0.000 0.000 0.500 x4
Cd 0.250 0.250 0.750 x4
Au 0.250 0.250 0.250 x4

Properties
Total DFT energy (no corrections): -3.93 eV/atom
Magnetic moment: 0.00 μB/f.u.
ΔE_f: -520 meV/atom

No. 12
Compound: LiLaAg2Hg
Source: the Alexandria database
Functional: PBE
Structure: optimized geometry

Cell: 4.820 4.820 4.931 Å, 90.00 90.00 90.00°
Space group P4/mmm (No. 123)
Unique sites:
Li 0.000 0.000 0.000 x1
La 0.500 0.500 0.500 x1
Ag 0.000 0.500 0.000 x2
Hg 0.000 0.000 0.500 x1

Properties
Total DFT energy (no corrections): -2.71 eV/atom
Magnetic moment: 0.00 μB/f.u.
ΔE_f: -137 meV/atom